Below is a relaxed structure of Pm6Dy2Th, with properties calculated at the GGA-PBE level.

Lattice parameters (Å, degrees): 3.6194 3.6194 26.9538 90.00 90.00 120.00
Fractional coordinates of all 9 atoms:
Pm 0.6667 0.3333 0.8909
Pm 0.3333 0.6667 0.4340
Pm 0.3333 0.6667 0.7791
Pm 0.3333 0.6667 0.2209
Pm 0.3333 0.6667 0.5660
Pm 0.6667 0.3333 0.1091
Dy 0.6667 0.3333 0.3294
Dy 0.6667 0.3333 0.6706
Th 0.3333 0.6667 0.0000

Fermi-level density of states, states/eV/atom: 1.684
Final energy, eV per atom: -4.95